No. 1
Below is an optimized crystal structure of Na2Tl5Au, with properties calculated at the GGA-PBE level.

abc: 4.2359 5.9931 18.8437
angles: 90.00 90.00 110.70
Fractional coordinates of all 16 atoms:
Tl1 0.3515 0.7031 0.0317
Tl2 0.5526 0.1052 0.7500
Tl3 0.0532 0.1063 0.0979
Tl4 0.6485 0.2969 0.5317
Tl5 0.4474 0.8948 0.2500
Tl6 0.9468 0.8937 0.9021
Tl7 0.6485 0.2969 0.9683
Tl8 0.9468 0.8937 0.5979
Tl9 0.3515 0.7031 0.4683
Tl10 0.0532 0.1063 0.4021
Na1 0.7601 0.5202 0.3417
Na2 0.2399 0.4798 0.8417
Na3 0.2399 0.4798 0.6583
Na4 0.7601 0.5202 0.1583
Au1 0.1388 0.2776 0.2500
Au2 0.8612 0.7224 0.7500

- Total DFT energy (no corrections): -2.32 eV per atom
- Formation energy: -104 meV/atom
- Magnetic moment: 0.00 μB per cell
- Calculated volume: 448 Å³ per cell

No. 2
Below is an optimized crystal structure of NaYTlAu, with properties calculated at the GGA-PBE level.

abc: 5.1412 5.1412 5.1412
angles: 60.00 60.00 60.00
Fractional coordinates of all 4 atoms:
Tl1 0.2500 0.2500 0.2500
Na1 0.5000 0.5000 0.5000
Y1 0.0000 0.0000 0.0000
Au1 0.7500 0.7500 0.7500

- Total DFT energy (no corrections): -3.73 eV per atom
- Formation energy: -375 meV/atom
- Magnetic moment: 0.00 μB per cell
- Calculated volume: 96 Å³ per cell

No. 3
Below is an optimized crystal structure of NaTlZn2Au, with properties calculated at the GGA-PBE level.

abc: 4.9710 4.9710 5.4705
angles: 90.00 90.00 90.00
Fractional coordinates of all 5 atoms:
Zn1 0.0000 0.5000 0.0000
Zn2 0.5000 0.0000 0.0000
Tl1 0.5000 0.5000 0.5000
Au1 0.0000 0.0000 0.0000
Na1 0.0000 0.0000 0.5000

- Total DFT energy (no corrections): -1.89 eV per atom
- Formation energy: 15 meV/atom
- Magnetic moment: 0.00 μB per cell
- Calculated volume: 135 Å³ per cell

No. 4
Below is an optimized crystal structure of Na2TlZnAu, with properties calculated at the GGA-PBE level.

abc: 5.5051 5.5051 4.9786
angles: 90.00 90.00 90.00
Fractional coordinates of all 5 atoms:
Na1 0.0000 0.5000 0.0000
Na2 0.5000 0.0000 0.0000
Tl1 0.5000 0.5000 0.5000
Au1 0.0000 0.0000 0.0000
Zn1 0.0000 0.0000 0.5000

- Total DFT energy (no corrections): -1.93 eV per atom
- Formation energy: -18 meV/atom
- Magnetic moment: 0.00 μB per cell
- Calculated volume: 151 Å³ per cell

No. 5
Below is an optimized crystal structure of NaTmAu2, with properties calculated at the GGA-PBE level.

abc: 3.5360 3.5360 7.3693
angles: 90.00 90.00 90.00
Fractional coordinates of all 4 atoms:
Au1 0.0000 0.0000 0.7814
Au2 0.0000 0.0000 0.2186
Na1 0.5000 0.5000 0.5000
Tm1 0.5000 0.5000 0.0000

- Total DFT energy (no corrections): -3.71 eV per atom
- Formation energy: -623 meV/atom
- Magnetic moment: 0.00 μB per cell
- Calculated volume: 92 Å³ per cell

No. 6
Below is an optimized crystal structure of NaTmAu2, with properties calculated at the GGA-PBE level.

abc: 3.8526 3.8526 8.2774
angles: 76.54 76.54 60.00
Fractional coordinates of all 4 atoms:
Tm1 0.0000 0.0000 0.0000
Au1 0.7427 0.7427 0.7719
Au2 0.2573 0.2573 0.2281
Na1 0.5000 0.5000 0.5000

- Total DFT energy (no corrections): -3.57 eV per atom
- Formation energy: -480 meV/atom
- Magnetic moment: 0.00 μB per cell
- Calculated volume: 102 Å³ per cell

No. 7
Below is an optimized crystal structure of NaTm2Au3, with properties calculated at the GGA-PBE level.

abc: 3.5307 3.5307 10.9040
angles: 90.00 90.00 90.00
Fractional coordinates of all 6 atoms:
Tm1 0.5000 0.5000 0.8320
Tm2 0.5000 0.5000 0.1680
Au1 0.0000 0.0000 0.0000
Au2 0.0000 0.0000 0.6864
Au3 0.0000 0.0000 0.3136
Na1 0.5000 0.5000 0.5000

- Total DFT energy (no corrections): -4.05 eV per atom
- Formation energy: -700 meV/atom
- Magnetic moment: 0.00 μB per cell
- Calculated volume: 136 Å³ per cell

No. 8
Below is an optimized crystal structure of NaTm4Au5, with properties calculated at the GGA-PBE level.

abc: 3.5260 3.5260 18.1459
angles: 90.00 90.00 90.00
Fractional coordinates of all 10 atoms:
Tm1 0.0000 0.0000 0.7994
Tm2 0.0000 0.0000 0.5990
Tm3 0.0000 0.0000 0.2006
Tm4 0.0000 0.0000 0.4010
Au1 0.5000 0.5000 0.8871
Au2 0.5000 0.5000 0.1129
Au3 0.5000 0.5000 0.3035
Au4 0.5000 0.5000 0.5000
Au5 0.5000 0.5000 0.6965
Na1 0.0000 0.0000 0.0000

- Total DFT energy (no corrections): -4.34 eV per atom
- Formation energy: -780 meV/atom
- Magnetic moment: 0.00 μB per cell
- Calculated volume: 226 Å³ per cell